DFT (PBE) results for a relaxed structure of ZnFe2W.

Properties
- total moment (μB per cell) = 4.49
- symmetry = P4mm
- Fermi-level density of states (states/eV/f.u.) = 3.551

Unit cell a=2.890 b=2.889 c=6.366 alpha=90.00 beta=90.00 gamma=90.00
Site moments in Bohr magnetons follow the coordinates.
Sites, in units of the cell vectors:
1 W 0.000 0.000 0.477  0.00
2 Fe 0.500 0.500 0.230  1.94
3 Fe 0.000 0.000 0.019  2.57
4 Zn 0.500 0.500 0.774  -0.02

DFT (PBE) results for a relaxed structure of ZnFeW2.

Properties
- total moment (μB per cell) = 1.86
- symmetry = P4mm
- Fermi-level density of states (states/eV/f.u.) = 2.856

Unit cell a=3.207 b=3.207 c=5.643 alpha=90.00 beta=90.00 gamma=90.00
Site moments in Bohr magnetons follow the coordinates.
Sites, in units of the cell vectors:
1 W 0.500 0.500 0.252  0.18
2 W 0.000 0.000 0.996  -0.17
3 Fe 0.500 0.500 0.737  1.93
4 Zn 0.000 0.000 0.516  -0.04

DFT (PBE) results for a relaxed structure of ZnFe2W.

Properties
- total moment (μB per cell) = 4.01
- symmetry = Pm
- Fermi-level density of states (states/eV/f.u.) = 2.495

Unit cell a=4.201 b=2.584 c=4.991 alpha=78.70 beta=90.00 gamma=90.00
Site moments in Bohr magnetons follow the coordinates.
Sites, in units of the cell vectors:
1 W 0.000 0.483 0.486  -0.21
2 Fe 0.000 0.016 0.000  2.13
3 Fe 0.500 0.202 0.245  2.20
4 Zn 0.500 0.799 0.769  -0.04

DFT (PBE) results for a relaxed structure of ZnFeW2.

Properties
- total moment (μB per cell) = 1.67
- symmetry = Cmmm
- Fermi-level density of states (states/eV/f.u.) = 2.674

Unit cell a=4.836 b=4.836 c=2.665 alpha=90.00 beta=90.00 gamma=112.78
Site moments in Bohr magnetons follow the coordinates.
Sites, in units of the cell vectors:
1 W 0.500 0.500 0.000  -0.01
2 W 0.000 0.000 0.000  -0.01
3 Fe 0.000 0.500 0.500  1.71
4 Zn 0.500 0.000 0.500  0.00

DFT (PBE) results for a relaxed structure of ZnFe2W.

Properties
- total moment (μB per cell) = 0.16
- symmetry = P4mm
- Fermi-level density of states (states/eV/f.u.) = 3.651

Unit cell a=2.611 b=2.611 c=7.725 alpha=90.00 beta=90.00 gamma=90.00
Site moments in Bohr magnetons follow the coordinates.
Sites, in units of the cell vectors:
1 Fe 0.500 0.500 0.225  -1.96
2 Fe 0.000 0.000 0.013  1.86
3 W 0.000 0.000 0.492  -0.01
4 Zn 0.500 0.500 0.771  -0.03

DFT (PBE) results for a relaxed structure of ZnFeW2.

Properties
- total moment (μB per cell) = 2.12
- symmetry = P4/mmm
- Fermi-level density of states (states/eV/f.u.) = 2.714

Unit cell a=4.005 b=3.796 c=3.796 alpha=90.00 beta=90.00 gamma=90.00
Site moments in Bohr magnetons follow the coordinates.
Sites, in units of the cell vectors:
1 Fe 0.500 0.000 0.500  2.17
2 W 0.000 0.500 0.500  -0.03
3 W 0.000 0.000 0.000  -0.03
4 Zn 0.500 0.500 0.000  0.00

no.,energy relative to the elements (meV per atom),raw total energy (Ry/atom)
1,167.1,-0.560
2,245.1,-0.637
3,167.7,-0.560
4,300.8,-0.633
5,209.4,-0.557
6,267.4,-0.635